Here is Ac8GaCo2 after structural relaxation from the Alexandria database. Energies are from PBE.

space-group type	Cm, No. 8
final energy	-0.16653	hartree per atom
formation energy	0.023	eV per atom

Cell lengths 8.289, 8.289, 6.619 Å; angles 98.49, 98.49, 116.04 degrees
Element x y z (fractional)
Ac  0.000  0.000  0.000
Ac  0.024  0.293  0.612
Ac  0.164  0.605  0.201
Ac  0.293  0.024  0.612
Ac  0.458  0.729  0.802
Ac  0.605  0.164  0.201
Ac  0.729  0.458  0.802
Ac  0.738  0.738  0.387
Ga  0.372  0.372  0.021
Co  0.082  0.669  0.702
Co  0.669  0.082  0.702

---

Here is Ac3Ga7Co2 after structural relaxation from the Alexandria database. Energies are from PBE.

space-group type	Cmmm, No. 65
final energy	-0.16132	hartree per atom
formation energy	-0.413	eV per atom

Cell lengths 12.219, 12.219, 4.714 Å; angles 90.00, 90.00, 157.92 degrees
Element x y z (fractional)
Ac  0.000  0.000  0.000
Ac  0.187  0.813  0.000
Ac  0.813  0.187  0.000
Ga  0.097  0.903  0.500
Ga  0.289  0.711  0.500
Ga  0.404  0.596  0.000
Ga  0.500  0.500  0.500
Ga  0.596  0.404  0.000
Ga  0.711  0.289  0.500
Ga  0.903  0.097  0.500
Co  0.402  0.598  0.500
Co  0.598  0.402  0.500

---

Here is AcGa12Co6 after structural relaxation from the Alexandria database. Energies are from PBE.

space-group type	R-3m, No. 166
final energy	-0.17102	hartree per atom
formation energy	-0.282	eV per atom

Cell lengths 6.969, 6.969, 6.969 Å; angles 104.69, 104.69, 104.69 degrees
Element x y z (fractional)
Ac  0.000  0.000  0.000
Ga  0.119  0.500  0.881
Ga  0.119  0.881  0.500
Ga  0.152  0.424  0.424
Ga  0.424  0.152  0.424
Ga  0.424  0.424  0.152
Ga  0.500  0.119  0.881
Ga  0.500  0.881  0.119
Ga  0.576  0.576  0.848
Ga  0.576  0.848  0.576
Ga  0.848  0.576  0.576
Ga  0.881  0.119  0.500
Ga  0.881  0.500  0.119
Co  0.268  0.268  0.685
Co  0.268  0.685  0.268
Co  0.315  0.732  0.732
Co  0.685  0.268  0.268
Co  0.732  0.315  0.732
Co  0.732  0.732  0.315

---

Here is Ac3Ga4Co4 after structural relaxation from the Alexandria database. Energies are from PBE.

space-group type	I-43m, No. 217
final energy	-0.18938	hartree per atom
formation energy	-0.348	eV per atom

Cell lengths 6.602, 6.602, 6.602 Å; angles 109.47, 109.47, 109.47 degrees
Element x y z (fractional)
Ac  0.000  0.500  0.500
Ac  0.500  0.000  0.500
Ac  0.500  0.500  0.000
Ga  0.000  0.000  0.603
Ga  0.000  0.603  0.000
Ga  0.397  0.397  0.397
Ga  0.603  0.000  0.000
Co  0.000  0.000  0.233
Co  0.000  0.233  0.000
Co  0.233  0.000  0.000
Co  0.767  0.767  0.767

---

Here is Ac4GaCo2 after structural relaxation from the Alexandria database. Energies are from PBE.

space-group type	Cmcm, No. 63
final energy	-0.17692	hartree per atom
formation energy	-0.004	eV per atom

Cell lengths 5.964, 5.964, 20.779 Å; angles 90.00, 90.00, 139.74 degrees
Element x y z (fractional)
Ac  0.000  0.000  0.000
Ac  0.000  0.000  0.500
Ac  0.277  0.723  0.627
Ac  0.277  0.723  0.873
Ac  0.451  0.549  0.250
Ac  0.549  0.451  0.750
Ac  0.723  0.277  0.127
Ac  0.723  0.277  0.373
Ga  0.175  0.825  0.250
Ga  0.825  0.175  0.750
Co  0.280  0.720  0.013
Co  0.280  0.720  0.487
Co  0.720  0.280  0.513
Co  0.720  0.280  0.987

---

Here is AcGa5Co after structural relaxation from the Alexandria database. Energies are from PBE.

space-group type	P4/mmm, No. 123
final energy	-0.15020	hartree per atom
formation energy	-0.323	eV per atom

Cell lengths 4.415, 4.415, 7.251 Å; angles 90.00, 90.00, 90.00 degrees
Element x y z (fractional)
Ac  0.000  0.000  0.000
Ga  0.000  0.500  0.324
Ga  0.000  0.500  0.676
Ga  0.500  0.000  0.324
Ga  0.500  0.000  0.676
Ga  0.500  0.500  0.000
Co  0.000  0.000  0.500